The following is a PBE calculation of a geometry-optimized Th2BiSb structure, from the Alexandria database.

## Properties
Energy relative to the elements, uncorrected = -0.74 eV/atom
Calculated density = 9.89 g cm⁻³

Cell lengths 4.5419, 4.5419, 22.4008 Å; angles 90.00, 90.00, 120.00 degrees
Space group R-3m (No. 166, hexagonal axes)
Unique sites:
Th  0.0000  0.0000  0.2457
Bi  0.0000  0.0000  0.0000
Sb  0.0000  0.0000  0.5000

=====

The following is a PBE calculation of a geometry-optimized Th3BiSb2 structure, from the Alexandria database.

## Properties
Energy relative to the elements, uncorrected = -0.49 eV/atom
Energy relative to the lowest polymorph listed for this composition = 300.2 meV per atom
Calculated density = 10.13 g cm⁻³

Cell lengths 5.5474, 13.0302, 10.4214 Å; angles 90.00, 90.00, 90.00 degrees
Space group Cmcm (No. 63)
Unique sites:
Th  0.0000  0.1341  0.0390
Th  0.0000  0.3615  0.2500
Bi  0.0000  0.3016  0.7500
Sb  0.0000  0.0377  0.7500
Sb  0.0000  0.5000  0.0000

=====

The following is a PBE calculation of a geometry-optimized ThBiSb2 structure, from the Alexandria database.

## Properties
Energy relative to the elements, uncorrected = -0.45 eV/atom
Energy relative to the lowest polymorph listed for this composition = 0.0 meV per atom
Calculated density = 9.89 g cm⁻³

Cell lengths 5.1851, 5.1851, 4.2746 Å; angles 90.00, 90.00, 90.00 degrees
Space group P4/mmm (No. 123)
Unique sites:
Th  0.0000  0.0000  0.0000
Bi  0.5000  0.5000  0.0000
Sb  0.0000  0.5000  0.5000

=====

The following is a PBE calculation of a geometry-optimized Th3BiSb2 structure, from the Alexandria database.

## Properties
Energy relative to the elements, uncorrected = -0.79 eV/atom
Energy relative to the lowest polymorph listed for this composition = 0.0 meV per atom
Calculated density = 9.64 g cm⁻³

Cell lengths 7.8363, 13.6273, 7.8671 Å; angles 90.00, 109.52, 90.00 degrees
Space group C2/c (No. 15)
Unique sites:
Th  0.2384  0.0867  0.4966
Th  0.2500  0.2500  0.0000
Bi  0.0000  0.4201  0.7500
Sb  0.0000  0.0840  0.7500
Sb  0.0000  0.2543  0.2500

=====

The following is a PBE calculation of a geometry-optimized Th4TlBiSb2 structure, from the Alexandria database.

## Properties
Energy relative to the elements, uncorrected = -0.59 eV/atom
Calculated density = 9.94 g cm⁻³

Cell lengths 7.8414, 4.5509, 7.8694 Å; angles 90.00, 109.54, 90.00 degrees
Space group P2/m (No. 10)
Unique sites:
Th  0.2446  0.0000  0.2427
Th  0.2492  0.5000  0.7543
Tl  0.5000  0.0000  0.0000
Bi  0.5000  0.5000  0.5000
Sb  0.0000  0.0000  0.5000
Sb  0.0000  0.5000  0.0000

=====

The following is a PBE calculation of a geometry-optimized TmThBiSb structure, from the Alexandria database.

## Properties
Energy relative to the elements, uncorrected = -0.83 eV/atom
Calculated density = 9.64 g cm⁻³

Cell lengths 4.4738, 4.4738, 21.8094 Å; angles 90.00, 90.00, 120.00 degrees
Space group R3m (No. 160, hexagonal axes)
Unique sites:
Tm  0.0000  0.0000  0.0000
Th  0.0000  0.0000  0.4942
Bi  0.0000  0.0000  0.2512
Sb  0.0000  0.0000  0.7424

=====

The following is a PBE calculation of a geometry-optimized Ti8Bi2Sb structure, from the Alexandria database.

## Properties
Energy relative to the elements, uncorrected = -0.17 eV/atom
Calculated density = 7.42 g cm⁻³

Cell lengths 14.1529, 4.6007, 7.1026 Å; angles 90.00, 116.77, 90.00 degrees
Space group C2/m (No. 12)
Unique sites:
Ti  0.0320  0.0000  0.2556
Ti  0.0821  0.5000  0.9402
Ti  0.1487  0.0000  0.6943
Ti  0.1726  0.5000  0.3942
Bi  0.2052  0.0000  0.1477
Sb  0.0000  0.5000  0.5000

=====

The following is a PBE calculation of a geometry-optimized TiBiSb2 structure, from the Alexandria database.

## Properties
Energy relative to the elements, uncorrected = -0.04 eV/atom
Calculated density = 7.87 g cm⁻³

Cell lengths 3.8734, 3.8734, 24.3888 Å; angles 90.00, 90.00, 120.00 degrees
Space group R3m (No. 160, hexagonal axes)
Unique sites:
Ti  0.0000  0.0000  0.0000
Bi  0.0000  0.0000  0.1622
Sb  0.0000  0.0000  0.4037
Sb  0.0000  0.0000  0.5964

=====

The following is a PBE calculation of a geometry-optimized Ti7BiSb2 structure, from the Alexandria database.

## Properties
Energy relative to the elements, uncorrected = 0.36 eV/atom
Calculated density = 5.45 g cm⁻³

Cell lengths 7.5554, 13.4502, 4.7233 Å; angles 90.00, 90.00, 90.00 degrees
Space group Cmmm (No. 65)
Unique sites:
Ti  0.0000  0.0000  0.0000
Ti  0.0000  0.2906  0.5000
Ti  0.1717  0.3895  0.0000
Bi  0.0000  0.5000  0.5000
Sb  0.0000  0.1991  0.0000

=====

The following is a PBE calculation of a geometry-optimized Ti2BiSb2 structure, from the Alexandria database.

## Properties
Energy relative to the elements, uncorrected = -0.06 eV/atom
Energy relative to the lowest polymorph listed for this composition = 185.1 meV per atom
Calculated density = 7.93 g cm⁻³

Cell lengths 8.5904, 8.5904, 3.1125 Å; angles 90.00, 90.00, 90.00 degrees
Space group P4/mbm (No. 127)
Unique sites:
Ti  0.1499  0.3501  0.0000
Bi  0.0000  0.0000  0.5000
Sb  0.1412  0.6412  0.5000

=====

The following is a PBE calculation of a geometry-optimized Ti2BiSb2 structure, from the Alexandria database.

## Properties
Energy relative to the elements, uncorrected = -0.24 eV/atom
Energy relative to the lowest polymorph listed for this composition = 0.0 meV per atom
Calculated density = 8.18 g cm⁻³

Cell lengths 7.8032, 7.8032, 3.6558 Å; angles 90.00, 90.00, 90.00 degrees
Space group P4/mbm (No. 127)
Unique sites:
Ti  0.1456  0.3544  0.0000
Bi  0.0000  0.0000  0.0000
Sb  0.1453  0.6453  0.5000

=====

The following is a PBE calculation of a geometry-optimized TiBi3Sb structure, from the Alexandria database.

## Properties
Energy relative to the elements, uncorrected = 1.16 eV/atom
Energy relative to the lowest polymorph listed for this composition = 820.6 meV per atom
Calculated density = 6.97 g cm⁻³

Cell lengths 5.7467, 5.7467, 5.7467 Å; angles 90.00, 90.00, 90.00 degrees
Space group Pm-3m (No. 221)
Unique sites:
Ti  0.0000  0.0000  0.0000
Bi  0.0000  0.5000  0.5000
Sb  0.5000  0.5000  0.5000

=====

The following is a PBE calculation of a geometry-optimized Ti12BiSb6 structure, from the Alexandria database.

## Properties
Energy relative to the elements, uncorrected = -0.22 eV/atom
Calculated density = 6.60 g cm⁻³

Cell lengths 12.3562, 12.3562, 8.6397 Å; angles 90.00, 90.00, 120.00 degrees
Space group R-3 (No. 148, hexagonal axes)
Unique sites:
Ti  0.0413  0.2420  0.0696
Ti  0.0634  0.2498  0.4243
Bi  0.0000  0.0000  0.0000
Sb  0.0504  0.2115  0.7352

=====

The following is a PBE calculation of a geometry-optimized Ti8BiSb2 structure, from the Alexandria database.

## Properties
Energy relative to the elements, uncorrected = -0.24 eV/atom
Calculated density = 6.72 g cm⁻³

Cell lengths 15.9612, 3.8960, 7.1321 Å; angles 90.00, 111.49, 90.00 degrees
Space group C2/m (No. 12)
Unique sites:
Ti  0.0453  0.0000  0.2435
Ti  0.0794  0.5000  0.9579
Ti  0.1470  0.0000  0.7188
Ti  0.1780  0.5000  0.4226
Bi  0.0000  0.5000  0.5000
Sb  0.2092  0.0000  0.1629

=====

The following is a PBE calculation of a geometry-optimized Ti6BiSb3 structure, from the Alexandria database.

## Properties
Energy relative to the elements, uncorrected = -0.26 eV/atom
Calculated density = 6.89 g cm⁻³

Cell lengths 8.9105, 13.1302, 7.0965 Å; angles 90.00, 90.00, 90.00 degrees
Space group Cmc2_1 (No. 36)
Unique sites:
Ti  0.0000  0.0351  0.0000
Ti  0.0000  0.2742  0.8394
Ti  0.2070  0.4351  0.8584
Ti  0.2306  0.2918  0.5292
Bi  0.0000  0.1952  0.2664
Sb  0.0000  0.4380  0.5568
Sb  0.1815  0.1097  0.7044

=====

The following is a PBE calculation of a geometry-optimized TiBiSb2 structure, from the Alexandria database.

## Properties
Energy relative to the elements, uncorrected = -0.10 eV/atom
Calculated density = 8.44 g cm⁻³

Cell lengths 3.5476, 3.5476, 7.8182 Å; angles 90.00, 90.00, 90.00 degrees
Space group P4/mmm (No. 123)
Unique sites:
Ti  0.0000  0.0000  0.0000
Bi  0.0000  0.0000  0.5000
Sb  0.5000  0.5000  0.1963

=====

The following is a PBE calculation of a geometry-optimized Ti3BiSb structure, from the Alexandria database.

## Properties
Energy relative to the elements, uncorrected = 0.01 eV/atom
Energy relative to the lowest polymorph listed for this composition = 0.0 meV per atom
Calculated density = 6.37 g cm⁻³

Cell lengths 5.9749, 11.5115, 7.1877 Å; angles 90.00, 90.00, 90.00 degrees
Space group Pnma (No. 62)
Unique sites:
Ti  0.0465  0.2500  0.0470
Ti  0.2322  0.6291  0.2655
Bi  0.0401  0.2500  0.4547
Sb  0.0000  0.0000  0.0000

=====

The following is a PBE calculation of a geometry-optimized Ti6BiSb structure, from the Alexandria database.

## Properties
Energy relative to the elements, uncorrected = -0.24 eV/atom
Calculated density = 7.03 g cm⁻³

Cell lengths 4.7787, 6.2445, 9.7872 Å; angles 90.00, 90.00, 90.00 degrees
Space group Amm2 (No. 38)
Unique sites:
Ti  0.0000  0.0000  0.0000
Ti  0.0000  0.2335  0.2753
Ti  0.5000  0.0000  0.7413
Ti  0.5000  0.2413  0.4623
Bi  0.0000  0.0000  0.5390
Sb  0.5000  0.0000  0.2012

=====

The following is a PBE calculation of a geometry-optimized TiBiSb2 structure, from the Alexandria database.

## Properties
Energy relative to the elements, uncorrected = 0.19 eV/atom
Calculated density = 5.63 g cm⁻³

Cell lengths 6.5536, 6.5536, 13.7493 Å; angles 90.00, 90.00, 90.00 degrees
Space group I-42d (No. 122)
Unique sites:
Ti  0.0000  0.0000  0.0000
Bi  0.0000  0.0000  0.5000
Sb  0.2032  0.2500  0.1250

=====

The following is a PBE calculation of a geometry-optimized Ti3BiSb structure, from the Alexandria database.

## Properties
Energy relative to the elements, uncorrected = 0.59 eV/atom
Energy relative to the lowest polymorph listed for this composition = 585.7 meV per atom
Calculated density = 5.90 g cm⁻³

Cell lengths 5.1114, 5.1114, 5.1114 Å; angles 90.00, 90.00, 90.00 degrees
Space group Pm-3m (No. 221)
Unique sites:
Ti  0.0000  0.0000  0.5000
Bi  0.5000  0.5000  0.5000
Sb  0.0000  0.0000  0.0000

=====

The following is a PBE calculation of a geometry-optimized Ti7Bi2Sb2 structure, from the Alexandria database.

## Properties
Energy relative to the elements, uncorrected = -0.01 eV/atom
Calculated density = 7.30 g cm⁻³

Cell lengths 11.6268, 8.7655, 4.8914 Å; angles 90.00, 114.62, 90.00 degrees
Space group C2/m (No. 12)
Unique sites:
Ti  0.0000  0.0000  0.0000
Ti  0.9999  0.5000  0.2586
Ti  0.2136  0.1703  0.2150
Bi  0.0000  0.2047  0.5000
Sb  0.2333  0.5000  0.2317

=====

The following is a PBE calculation of a geometry-optimized TiBi3Sb structure, from the Alexandria database.

## Properties
Energy relative to the elements, uncorrected = 0.34 eV/atom
Energy relative to the lowest polymorph listed for this composition = 0.0 meV per atom
Calculated density = 8.30 g cm⁻³

Cell lengths 5.4209, 5.4209, 5.4209 Å; angles 90.00, 90.00, 90.00 degrees
Space group Pm-3m (No. 221)
Unique sites:
Ti  0.0000  0.0000  0.0000
Bi  0.0000  0.0000  0.5000
Sb  0.5000  0.5000  0.5000

=====

The following is a PBE calculation of a geometry-optimized Ti2BiSb2 structure, from the Alexandria database.

## Properties
Energy relative to the elements, uncorrected = -0.05 eV/atom
Energy relative to the lowest polymorph listed for this composition = 188.7 meV per atom
Calculated density = 7.24 g cm⁻³

Cell lengths 5.0744, 5.0744, 9.7660 Å; angles 90.00, 90.00, 90.00 degrees
Space group I4/mmm (No. 139)
Unique sites:
Ti  0.0000  0.5000  0.2500
Bi  0.0000  0.0000  0.0000
Sb  0.0000  0.0000  0.3546

=====

no.,Fermi-level density of states (states/eV/atom)
1,0.738
2,1.036
3,0.711
4,0.754
5,0.708
6,0.527
7,1.150
8,0.644
9,1.419
10,0.929
11,0.522
12,2.077
13,1.140
14,1.135
15,1.103
16,0.682
17,1.102
18,0.986
19,1.646
20,1.549
21,1.342
22,0.905
23,1.370